# Ru2AuBr, optimized geometry, DFT PBE
# relative energy among the computed polymorphs: 0.659 eV per atom
# theoretical density: 10.19 g/cm3
# uncorrected formation energy: 1.047 eV per atom
# electronic total energy: -77.25 eV for the cell shown
data_Ru2AuBr
_chemical_formula_sum 'Ru8 Au4 Br4'
_cell_length_a 4.2589
_cell_length_b 4.2589
_cell_length_c 17.2196
_cell_angle_alpha 90.00
_cell_angle_beta 90.00
_cell_angle_gamma 90.00
_space_group_name_H-M_alt 'I -4 2 d'
_space_group_IT_number 122
_space_group_name_Hall 'I -4 2bw'
loop_
_atom_site_label
_atom_site_type_symbol
_atom_site_fract_x
_atom_site_fract_y
_atom_site_fract_z
_atom_site_occupancy
Ru1 Ru 0.1543 0.2500 0.1250 1
Au1 Au 0.0000 0.0000 0.5000 1
Br1 Br 0.0000 0.0000 0.0000 1